# 1
Compound: Sm3Y6Mg
Source: Alexandria
Functional: PBE
Structure: relaxed

extended XYZ file:
```
20
Lattice="5.075 0.000 0.000 0.000 11.180 -0.203 0.000 0.073 11.291" Properties=species:S:1:pos:R:3 pbc="T T T"
Y 1.269 1.699 2.166
Y 3.806 3.883 3.315
Y 1.269 9.596 3.313
Y 1.269 7.370 7.774
Y 1.269 0.597 10.119
Y 3.806 6.234 10.029
Y 3.806 9.554 8.923
Y 3.806 8.520 5.523
Y 3.806 1.657 7.775
Y 1.269 5.020 1.059
Y 1.269 2.733 5.566
Y 3.806 10.656 0.969
Sm 1.269 3.936 8.908
Sm 3.806 2.837 11.178
Sm 3.806 5.061 6.675
Sm 3.806 7.317 2.181
Sm 1.269 8.416 -0.090
Sm 1.269 6.192 4.413
Mg 1.269 10.651 6.610
Mg 3.806 0.602 4.478
```

Summary:
Formation energy = 0.20 eV/f.u.
DFT total energy = -5.43 eV/atom

# 2
Compound: SmYMg4
Source: Alexandria
Functional: PBE
Structure: relaxed

extended XYZ file:
```
6
Lattice="3.344 0.000 0.967 2.142 6.629 -1.141 -0.474 -3.304 7.902" Properties=species:S:1:pos:R:3 pbc="T T T"
Mg 3.449 0.430 6.869
Mg 1.934 -2.110 5.843
Mg 3.079 5.435 1.886
Mg 1.563 2.896 0.860
Sm 0.000 0.000 0.000
Y 2.506 1.663 3.864
```

Summary:
Relative energy among the computed polymorphs = 0.22 eV per formula unit
Formation energy = -0.33 eV/f.u.
DFT total energy = -2.98 eV/atom

# 3
Compound: SmYMg2
Source: Alexandria
Functional: PBE
Structure: relaxed

extended XYZ file:
```
4
Lattice="-4.181 -0.888 3.311 -1.288 -5.051 1.434 0.872 -1.678 5.065" Properties=species:S:1:pos:R:3 pbc="T T T"
Mg -1.149 -1.904 2.452
Mg -3.447 -5.713 7.357
Y 0.000 0.000 0.000
Sm -2.298 -3.809 4.905
```

Summary:
Relative energy among the computed polymorphs = 0.00 eV per formula unit
Formation energy = -0.44 eV/f.u.
DFT total energy = -3.70 eV/atom

# 4
Compound: SmY3Mg8
Source: Alexandria
Functional: PBE
Structure: relaxed

extended XYZ file:
```
12
Lattice="6.070 0.000 0.000 3.035 5.257 0.000 3.035 1.752 9.854" Properties=species:S:1:pos:R:3 pbc="T T T"
Mg 9.105 5.257 9.241
Mg 3.035 1.752 4.311
Mg 4.549 2.627 1.833
Mg 9.105 3.500 6.787
Mg 6.070 5.261 1.833
Mg 7.584 6.135 6.787
Mg 7.591 2.627 1.833
Mg 10.626 6.135 6.787
Y 3.035 1.752 9.853
Y 6.070 3.505 8.622
Y 6.070 3.505 4.938
Sm 9.105 5.257 3.688
```

Summary:
Relative energy among the computed polymorphs = 0.00 eV per formula unit
Formation energy = -1.11 eV/f.u.
DFT total energy = -3.17 eV/atom

# 5
Compound: Sm8YMg2
Source: Alexandria
Functional: PBE
Structure: relaxed

extended XYZ file:
```
11
Lattice="-0.279 -3.501 4.083 7.191 -3.678 -2.662 1.217 8.098 3.475" Properties=species:S:1:pos:R:3 pbc="T T T"
Sm 5.407 -2.009 -1.353
Sm 6.360 -0.197 3.818
Sm 2.722 2.929 6.249
Sm 3.445 -2.209 1.893
Sm 1.768 1.116 1.078
Sm 7.105 -2.872 1.575
Sm 1.024 3.792 3.321
Sm 4.684 3.128 3.002
Y -0.140 -1.750 2.042
Mg 5.006 0.563 0.825
Mg 3.123 0.357 4.071
```

Summary:
Relative energy among the computed polymorphs = 0.00 eV per formula unit
Formation energy = 0.13 eV/f.u.
DFT total energy = -4.30 eV/atom

# 6
Compound: Sm3YMg8
Source: Alexandria
Functional: PBE
Structure: relaxed

extended XYZ file:
```
12
Lattice="6.113 0.000 0.000 -3.057 5.294 0.000 0.000 0.000 9.862" Properties=species:S:1:pos:R:3 pbc="T T T"
Sm 3.057 1.765 4.289
Sm 0.000 0.000 9.233
Sm 3.057 1.765 0.626
Mg 0.000 3.529 4.933
Mg 0.000 3.529 9.860
Mg 1.563 4.432 2.475
Mg 0.000 1.725 2.475
Mg -1.563 4.432 2.475
Mg 1.566 2.625 7.388
Mg 3.057 0.043 7.388
Mg 4.547 2.625 7.388
Y 0.000 0.000 5.576
```

Summary:
Formation energy = -1.03 eV/f.u.
DFT total energy = -2.87 eV/atom

# 7
Compound: SmYMg2
Source: Alexandria
Functional: PBE
Structure: relaxed

extended XYZ file:
```
4
Lattice="-1.248 2.770 1.686 -1.939 -0.430 2.851 8.110 1.088 7.797" Properties=species:S:1:pos:R:3 pbc="T T T"
Mg 1.198 0.856 3.061
Mg 5.845 1.012 6.244
Y 5.953 2.647 10.799
Sm 2.499 1.715 6.192
```

Summary:
Relative energy among the computed polymorphs = 0.64 eV per formula unit
Formation energy = 0.20 eV/f.u.
DFT total energy = -3.54 eV/atom

# 8
Compound: Sm4Y5Mg2
Source: Alexandria
Functional: PBE
Structure: relaxed

extended XYZ file:
```
22
Lattice="3.611 0.000 0.000 0.000 9.019 0.000 0.000 0.000 21.297" Properties=species:S:1:pos:R:3 pbc="T T T"
Sm 1.806 8.393 13.786
Sm 1.806 1.954 1.615
Sm 1.806 2.555 12.263
Sm 1.806 6.463 9.034
Sm 1.806 7.064 19.682
Sm 1.806 5.135 3.138
Sm 1.806 0.626 7.510
Sm 1.806 3.883 18.159
Y 0.000 6.799 5.976
Y 0.000 4.509 0.000
Y 0.000 2.220 15.320
Y 0.000 7.860 1.386
Y 0.000 3.351 9.262
Y 0.000 0.000 10.648
Y 0.000 2.289 4.672
Y 0.000 5.668 12.034
Y 0.000 1.158 19.910
Y 0.000 6.729 16.625
Mg 1.806 8.649 4.047
Mg 1.806 0.369 17.250
Mg 1.806 4.140 6.602
Mg 1.806 4.879 14.695
```

Summary:
Formation energy = 0.14 eV/f.u.
DFT total energy = -4.93 eV/atom

# 9
Compound: SmYMgZn
Source: Alexandria
Functional: PBE
Structure: relaxed

extended XYZ file:
```
4
Lattice="3.634 0.000 0.000 0.000 3.634 0.000 0.000 0.000 7.817" Properties=species:S:1:pos:R:3 pbc="T T T"
Zn 0.000 0.000 2.859
Mg 0.000 0.000 6.646
Y 1.817 1.817 4.538
Sm 1.817 1.817 1.028
```

Summary:
Relative energy among the computed polymorphs = 0.00 eV per formula unit
Formation energy = -0.87 eV/f.u.
DFT total energy = -3.73 eV/atom

# 10
Compound: SmYMgZn
Source: Alexandria
Functional: PBE
Structure: relaxed

extended XYZ file:
```
4
Lattice="-3.161 3.527 2.260 -4.463 1.421 -2.367 -4.618 -1.507 1.986" Properties=species:S:1:pos:R:3 pbc="T T T"
Zn 0.000 0.000 0.000
Y -9.181 2.581 1.409
Sm -3.060 0.860 0.470
Mg -6.120 1.721 0.940
```

Summary:
Relative energy among the computed polymorphs = 0.12 eV per formula unit
Formation energy = -0.76 eV/f.u.
DFT total energy = -3.70 eV/atom

# 11
Compound: SmYMgZr
Source: Alexandria
Functional: PBE
Structure: relaxed

extended XYZ file:
```
4
Lattice="-0.826 -5.006 -1.832 4.142 -2.904 -1.874 1.815 -4.234 2.808" Properties=species:S:1:pos:R:3 pbc="T T T"
Mg 0.000 0.000 0.000
Y 3.849 -9.108 -0.674
Sm 1.283 -3.036 -0.225
Zr 2.566 -6.072 -0.449
```

Summary:
Formation energy = 0.51 eV/f.u.
DFT total energy = -5.20 eV/atom

# 12
Compound: Sm4Mg2Zn
Source: Alexandria
Functional: PBE
Structure: relaxed

extended XYZ file:
```
7
Lattice="5.069 0.000 1.584 2.287 4.524 1.584 -0.060 -0.037 9.096" Properties=species:S:1:pos:R:3 pbc="T T T"
Zn 0.000 0.000 0.000
Mg 1.845 1.134 3.000
Mg 5.452 3.352 9.263
Sm 6.410 3.942 6.195
Sm 2.722 1.674 9.095
Sm 0.886 0.545 6.069
Sm 4.574 2.813 3.168
```

Summary:
Formation energy = 0.36 eV/f.u.
DFT total energy = -3.28 eV/atom

# 13
Compound: SmMgZn2
Source: Alexandria
Functional: PBE
Structure: relaxed

extended XYZ file:
```
4
Lattice="-3.538 -2.695 -2.034 -1.792 -3.880 2.378 -4.534 0.133 1.830" Properties=species:S:1:pos:R:3 pbc="T T T"
Sm -7.398 -4.832 1.631
Mg -2.466 -1.611 0.544
Zn -4.932 -3.221 1.087
Zn 0.000 0.000 0.000
```

Summary:
Formation energy = -1.35 eV/f.u.
DFT total energy = -2.55 eV/atom

# 14
Compound: SmMgZn3
Source: Alexandria
Functional: PBE
Structure: relaxed

extended XYZ file:
```
10
Lattice="-2.140 5.425 -1.064 -1.480 0.630 6.184 4.466 3.037 0.760" Properties=species:S:1:pos:R:3 pbc="T T T"
Sm 1.938 3.660 1.741
Sm -1.091 5.432 4.137
Zn 0.242 6.035 1.094
Zn 0.604 3.057 4.785
Zn 0.946 7.582 3.097
Zn -0.099 1.510 2.782
Zn 0.359 7.831 5.548
Zn 0.488 1.261 0.330
Mg 2.119 5.339 4.915
Mg -1.272 3.753 0.964
```

Summary:
Formation energy = -1.10 eV/f.u.
DFT total energy = -2.25 eV/atom

# 15
Compound: SmMg2Zn
Source: Alexandria
Functional: PBE
Structure: relaxed

extended XYZ file:
```
4
Lattice="-2.955 -0.037 -1.222 -0.419 -0.028 -3.170 -1.019 -11.096 -1.381" Properties=species:S:1:pos:R:3 pbc="T T T"
Mg -3.343 -3.336 -4.368
Mg -1.051 -7.826 -1.406
Zn -2.197 -5.581 -2.887
Sm 0.000 0.000 0.000
```

Summary:
Formation energy = 0.77 eV/f.u.
DFT total energy = -2.10 eV/atom

# 16
Compound: Sm6Mg5Zn
Source: Alexandria
Functional: PBE
Structure: relaxed

extended XYZ file:
```
12
Lattice="5.099 -0.031 1.699 0.041 7.649 0.014 -0.005 -0.015 8.514" Properties=species:S:1:pos:R:3 pbc="T T T"
Mg 1.670 -0.015 3.487
Mg 1.711 3.809 3.434
Mg 3.424 3.794 6.792
Mg 0.020 3.824 0.007
Mg 3.424 -0.031 6.726
Sm 0.853 5.763 6.043
Sm 2.581 5.804 0.860
Sm 4.282 1.840 4.184
Sm 4.303 5.747 4.191
Sm 0.832 1.855 6.036
Sm 2.559 1.814 0.853
Zn 0.000 0.000 0.000
```

Summary:
Formation energy = -1.55 eV/f.u.
DFT total energy = -3.26 eV/atom

# 17
Compound: Sm5Mg4Zn
Source: Alexandria
Functional: PBE
Structure: relaxed

extended XYZ file:
```
10
Lattice="3.777 0.000 0.000 0.000 3.777 0.000 0.000 0.000 19.298" Properties=species:S:1:pos:R:3 pbc="T T T"
Sm 1.889 1.889 5.713
Sm 1.889 1.889 13.585
Sm 1.889 1.889 17.575
Sm 1.889 1.889 1.722
Sm 1.889 1.889 9.649
Mg 0.000 0.000 3.752
Mg 0.000 0.000 7.678
Mg 0.000 0.000 15.545
Mg 0.000 0.000 11.619
Zn 0.000 0.000 0.000
```

Summary:
Formation energy = -1.41 eV/f.u.
DFT total energy = -3.27 eV/atom

# 18
Compound: Sm6Mg2Zn
Source: Alexandria
Functional: PBE
Structure: relaxed

extended XYZ file:
```
18
Lattice="-5.682 -2.100 2.327 3.042 -9.023 -0.714 1.491 -0.205 8.951" Properties=species:S:1:pos:R:3 pbc="T T T"
Sm 0.570 -0.738 7.403
Sm -1.623 -8.322 10.121
Sm 1.101 -3.256 4.272
Sm -1.703 -5.581 3.783
Sm -1.455 -3.046 10.019
Sm -2.250 -8.072 6.293
Sm 0.306 -8.282 0.546
Sm 0.474 -3.007 0.444
Sm -1.986 -3.079 6.168
Sm 0.553 -5.747 6.782
Sm -1.720 -10.591 3.162
Sm 0.837 -8.250 4.397
Mg 1.206 -5.690 1.929
Mg 0.094 -9.762 7.337
Mg -1.244 -1.566 3.227
Mg -2.355 -5.638 8.636
Zn -1.320 -5.562 0.807
Zn 0.745 -0.103 4.476
```

Summary:
Formation energy = 0.30 eV/f.u.
DFT total energy = -3.61 eV/atom

# 19
Compound: Sm2MgZn3
Source: Alexandria
Functional: PBE
Structure: relaxed

extended XYZ file:
```
6
Lattice="-2.746 1.724 1.503 0.141 -2.216 2.800 6.671 6.461 4.778" Properties=species:S:1:pos:R:3 pbc="T T T"
Sm -0.140 0.880 2.984
Sm 4.206 5.089 6.096
Zn 2.382 2.307 1.706
Zn 0.000 0.000 0.000
Zn 4.289 4.154 3.071
Mg 2.033 2.985 4.540
```

Summary:
Relative energy among the computed polymorphs = 0.39 eV per formula unit
Formation energy = -1.49 eV/f.u.
DFT total energy = -2.72 eV/atom

# 20
Compound: Sm5MgZn4
Source: Alexandria
Functional: PBE
Structure: relaxed

extended XYZ file:
```
10
Lattice="-2.162 2.491 -1.581 -2.266 -0.147 2.867 9.663 13.677 8.336" Properties=species:S:1:pos:R:3 pbc="T T T"
Zn 5.768 8.164 4.976
Zn 7.656 10.837 6.605
Zn 3.895 5.513 3.360
Zn 2.006 2.840 1.731
Mg 0.000 0.000 0.000
Sm 6.331 13.268 8.015
Sm 2.617 8.011 4.811
Sm 0.748 5.365 3.198
Sm -1.096 2.754 1.607
Sm 4.487 10.657 6.424
```

Summary:
Formation energy = -2.76 eV/f.u.
DFT total energy = -3.30 eV/atom